First-principles (GGA-PBE) data for an optimized crystal structure of NaCaOF2, as listed in Alexandria.

abc: 4.4255 4.4255 4.5778
angles: 90.00 90.00 90.00
Sites, in units of the cell vectors:
Na 0.0000 0.0000 0.0000
Ca 0.5000 0.5000 0.5000
O 0.5000 0.5000 0.0000
F 0.0000 0.5000 0.5000
F 0.5000 0.0000 0.5000

Values from the calculation:
The value obtained for the energy is -0.3538 Ry per atom. The energy relative to the lowest polymorph listed for this composition comes out at 0 meV per atom. The calculation puts the uncorrected formation energy at -2.41 eV/atom.